(1)
First-principles (GGA-PBE) data for an optimized crystal structure of Pu2NiGe6, as listed in Alexandria via LeMat-Bulk.

```
data_Pu2NiGe6
_symmetry_space_group_name_H-M 'P -3 m 1'
_symmetry_Int_Tables_number 164
_symmetry_space_group_name_Hall '-P 3 2"'
_cell_length_a 5.9970
_cell_length_b 5.9970
_cell_length_c 5.3255
_cell_angle_alpha 90.00
_cell_angle_beta 90.00
_cell_angle_gamma 120.00
loop_
_atom_site_label
_atom_site_fract_x
_atom_site_fract_y
_atom_site_fract_z
_atom_site_occupancy
Pu1 0.3333 0.6667 0.2829 1
Ni1 0.0000 0.0000 0.5000 1
Ge1 0.1791 0.3582 0.7929 1
```

Results
Volume (Å³/f.u.): 165.87
Calculated density (g cm⁻³): 9.8
Uncorrected energy (eV per atom): -7.256

***

(2)
First-principles (GGA-PBE) data for an optimized crystal structure of ZrPNF2, as listed in Alexandria via LeMat-Bulk.

```
data_ZrPNF2
_symmetry_space_group_name_H-M 'P 4/m m m'
_symmetry_Int_Tables_number 123
_symmetry_space_group_name_Hall '-P 4 2'
_cell_length_a 4.182
_cell_length_b 4.182
_cell_length_c 4.356
_cell_angle_alpha 90.00
_cell_angle_beta 90.00
_cell_angle_gamma 90.00
loop_
_atom_site_label
_atom_site_fract_x
_atom_site_fract_y
_atom_site_fract_z
_atom_site_occupancy
Zr1 0.000 0.000 0.000 1
P1 0.500 0.500 0.500 1
N1 0.000 0.000 0.500 1
F1 0.000 0.500 0.000 1
```

Results
E above lowest polymorph (kcal/mol of atoms): 0.000
Formation energy from raw total energies (eV/atom): -1.134
Volume (Å³/f.u.): 76.18
Calculated density (g cm⁻³): 3.8

***

(3)
First-principles (GGA-PBE) data for an optimized crystal structure of NbBiB2Cl, as listed in Alexandria via LeMat-Bulk.

```
data_NbBiB2Cl
_symmetry_space_group_name_H-M 'P 4/m m m'
_symmetry_Int_Tables_number 123
_symmetry_space_group_name_Hall '-P 4 2'
_cell_length_a 4.622
_cell_length_b 4.622
_cell_length_c 5.922
_cell_angle_alpha 90.00
_cell_angle_beta 90.00
_cell_angle_gamma 90.00
loop_
_atom_site_label
_atom_site_fract_x
_atom_site_fract_y
_atom_site_fract_z
_atom_site_occupancy
Nb1 0.000 0.000 0.000 1
Bi1 0.000 0.000 0.500 1
B1 0.000 0.500 0.500 1
Cl1 0.500 0.500 0.000 1
```

Results
Formation energy from raw total energies (eV/atom): 2.094
Volume (Å³/f.u.): 126.52
Calculated density (g cm⁻³): 4.7

***

(4)
First-principles (GGA-PBE) data for an optimized crystal structure of YPb2, as listed in Alexandria via LeMat-Bulk.

```
data_YPb2
_symmetry_space_group_name_H-M 'P 63/m m c'
_symmetry_Int_Tables_number 194
_symmetry_space_group_name_Hall '-P 6c 2c'
_cell_length_a 6.3737
_cell_length_b 6.3737
_cell_length_c 10.6236
_cell_angle_alpha 90.00
_cell_angle_beta 90.00
_cell_angle_gamma 120.00
loop_
_atom_site_label
_atom_site_fract_x
_atom_site_fract_y
_atom_site_fract_z
_atom_site_occupancy
Y1 0.3333 0.6667 0.0623 1
Pb1 0.0000 0.0000 0.0000 1
Pb2 0.1716 0.3431 0.7500 1
```

Results
Volume (Å³/f.u.): 93.44
Calculated density (g cm⁻³): 8.9
Uncorrected energy (eV per atom): -4.711